## HgGePd3 (GGA-PBE)

Data for crystalline HgGePd3 at its relaxed geometry.

Cell: 5.6870 5.6844 7.0062 Å, 70.45 70.40 59.95°
Atoms (fractional coordinates):
Pd (0.6739, 0.3058, 0.8485)
Pd (0.9453, 0.5577, 0.2601)
Pd (0.1695, 0.2968, 0.8990)
Pd (0.1790, 0.8013, 0.8477)
Pd (0.8802, 0.0049, 0.5082)
Pd (0.4310, 0.0715, 0.2608)
Ge (0.1158, 0.2445, 0.5770)
Ge (0.9118, 0.0385, 0.1517)
Hg (0.4292, 0.5541, 0.4827)
Hg (0.6473, 0.7746, 0.9251)

Calculated values
ΔE_f   -0.244 eV/atom

## Pr2HgGe4Pd3 (GGA-PBE)

Data for crystalline Pr2HgGe4Pd3 at its relaxed geometry.

Cell: 4.3963 4.3963 10.5067 Å, 90.00 90.00 90.00°
Atoms (fractional coordinates):
Pr (0.5000, 0.0000, 0.2420)
Pr (0.0000, 0.5000, 0.7580)
Ge (0.5000, 0.0000, 0.6477)
Ge (0.0000, 0.0000, 0.0000)
Ge (0.0000, 0.5000, 0.3523)
Ge (0.5000, 0.5000, 0.0000)
Hg (0.5000, 0.5000, 0.5000)
Pd (0.0000, 0.0000, 0.5000)
Pd (0.0000, 0.5000, 0.1193)
Pd (0.5000, 0.0000, 0.8807)

Calculated values
ΔE_f   -0.688 eV/atom

## Pr2HgGe3Pd4 (GGA-PBE)

Data for crystalline Pr2HgGe3Pd4 at its relaxed geometry.

Cell: 4.3798 4.3798 10.5901 Å, 90.00 90.00 90.00°
Atoms (fractional coordinates):
Pd (0.0000, 0.5000, 0.3506)
Pd (0.5000, 0.0000, 0.6494)
Pd (0.0000, 0.0000, 0.0000)
Pd (0.5000, 0.5000, 0.0000)
Ge (0.0000, 0.0000, 0.5000)
Ge (0.5000, 0.0000, 0.8785)
Ge (0.0000, 0.5000, 0.1215)
Pr (0.0000, 0.5000, 0.7544)
Pr (0.5000, 0.0000, 0.2456)
Hg (0.5000, 0.5000, 0.5000)

Calculated values
ΔE_f   -0.711 eV/atom

## Pu4HgGe2Pd (GGA-PBE)

Data for crystalline Pu4HgGe2Pd at its relaxed geometry.

Cell: 3.5959 3.5959 14.7855 Å, 83.02 83.02 60.00°
Last column: magnetic moment on the atom in μB.
Atoms (fractional coordinates):
Pu (0.0868, 0.0868, 0.7397)  -2.77
Pu (0.9132, 0.9132, 0.2603)  -2.77
Pu (0.3905, 0.3905, 0.8285)  3.44
Pu (0.6095, 0.6095, 0.1715)  3.44
Hg (0.0000, 0.0000, 0.0000)  0.03
Ge (0.1999, 0.1999, 0.4004)  0.02
Ge (0.8001, 0.8001, 0.5996)  0.02
Pd (0.5000, 0.5000, 0.5000)  0.03

Calculated values
ΔE_f   -0.086 eV/atom

## PuHgGePd (GGA-PBE)

Data for crystalline PuHgGePd at its relaxed geometry.

Cell: 4.8903 4.8903 4.8903 Å, 60.00 60.00 60.00°
Last column: magnetic moment on the atom in μB.
Atoms (fractional coordinates):
Pu (0.5000, 0.5000, 0.5000)  5.25
Ge (0.2500, 0.2500, 0.2500)  0.03
Pd (0.7500, 0.7500, 0.7500)  -0.04
Hg (0.0000, 0.0000, 0.0000)  0.01

Calculated values
ΔE_f   -0.227 eV/atom

## Rb2HgGePd (GGA-PBE)

Data for crystalline Rb2HgGePd at its relaxed geometry.

Cell: 6.6346 6.6346 4.7186 Å, 90.00 90.00 90.00°
Atoms (fractional coordinates):
Rb (0.5000, 0.0000, 0.0000)
Rb (0.0000, 0.5000, 0.0000)
Hg (0.5000, 0.5000, 0.5000)
Ge (0.0000, 0.0000, 0.5000)
Pd (0.0000, 0.0000, 0.0000)

Calculated values
ΔE_f   -0.088 eV/atom

## RbHg2GePd (GGA-PBE)

Data for crystalline RbHg2GePd at its relaxed geometry.

Cell: 5.4737 5.4737 4.9183 Å, 90.00 90.00 90.00°
Atoms (fractional coordinates):
Hg (0.5000, 0.0000, 0.0000)
Hg (0.0000, 0.5000, 0.0000)
Rb (0.5000, 0.5000, 0.5000)
Pd (0.0000, 0.0000, 0.5000)
Ge (0.0000, 0.0000, 0.0000)

Calculated values
ΔE_f   -0.069 eV/atom

## RbHg2GePd (GGA-PBE)

Data for crystalline RbHg2GePd at its relaxed geometry.

Cell: 5.4563 5.4563 4.8717 Å, 90.00 90.00 90.00°
Atoms (fractional coordinates):
Hg (0.5000, 0.0000, 0.0000)
Hg (0.0000, 0.5000, 0.0000)
Pd (0.0000, 0.0000, 0.0000)
Rb (0.5000, 0.5000, 0.5000)
Ge (0.0000, 0.0000, 0.5000)

Calculated values
ΔE_f   -0.119 eV/atom

The evaluated E for the records listed, in turn: -4.344 -5.079 -5.160 -9.093 -6.338 -2.497 -2.345 -2.395 eV per atom.